1.
# K4Cd3CuF12 GGA-PBE optimized geometry
# - DOS(E_F): 13.14 states/eV per cell
# - Raw total energy: -4.016 eV per atom
# - Magnetic moment: 2.0 μB per cell
data_K4Cd3CuF12
_cell_length_a 8.7493
_cell_length_b 8.7493
_cell_length_c 8.7493
_cell_angle_alpha 90.00
_cell_angle_beta 90.00
_cell_angle_gamma 90.00
_space_group_name_H-M_alt 'I m -3 m'
_space_group_IT_number 229
_space_group_name_Hall '-I 4 2 3'
loop_
_atom_site_label
_atom_site_fract_x
_atom_site_fract_y
_atom_site_fract_z
_atom_site_occupancy
K1 0.2500 0.2500 0.2500 1
Cd1 0.0000 0.0000 0.5000 1
Cu1 0.0000 0.0000 0.0000 1
F1 0.0000 0.0000 0.2376 1
F2 0.0000 0.2500 0.5000 1



2.
# MnCoW2 GGA-PBE optimized geometry
# - DOS(E_F): 14.37 states/eV per cell
# - DFT formation energy: 204 meV/atom
# - Magnetic moment: 14.7 μB per cell
data_MnCoW2
_cell_length_a 6.0826
_cell_length_b 6.0826
_cell_length_c 6.0826
_cell_angle_alpha 90.00
_cell_angle_beta 90.00
_cell_angle_gamma 90.00
_space_group_name_H-M_alt 'F -4 3 m'
_space_group_IT_number 216
_space_group_name_Hall 'F -4 2 3'
loop_
_atom_site_label
_atom_site_fract_x
_atom_site_fract_y
_atom_site_fract_z
_atom_site_occupancy
Mn1 0.0000 0.0000 0.0000 1
Co1 0.2500 0.2500 0.2500 1
W1 0.0000 0.0000 0.5000 1
W2 0.2500 0.2500 0.7500 1



3.
# YBPd6 GGA-PBE optimized geometry
# - DOS(E_F): 17.42 states/eV per cell
# - DFT formation energy: -414 meV/atom
# - Magnetic moment: 0.0 μB per cell
data_YBPd6
_cell_length_a 5.6129
_cell_length_b 5.6129
_cell_length_c 15.1098
_cell_angle_alpha 90.00
_cell_angle_beta 90.00
_cell_angle_gamma 120.00
_space_group_name_H-M_alt 'R -3 m'
_space_group_IT_number 166
_space_group_name_Hall '-R 3 2"'
loop_
_atom_site_label
_atom_site_fract_x
_atom_site_fract_y
_atom_site_fract_z
_atom_site_occupancy
Y1 0.0000 0.0000 0.0000 1
B1 0.0000 0.0000 0.5000 1
Pd1 0.0126 0.5063 0.9124 1